HoCdRhAu: relaxed, PBE.

Uncorrected energy   -18.394 eV/f.u.
DOS(E_F)   0.50 states/eV per atom

Cell and atoms, written as CIF:
```
data_HoCdRhAu
_space_group_name_H-M_alt 'F -4 3 m'
_space_group_IT_number 216
_space_group_name_Hall 'F -4 2 3'
_cell_length_a 6.798
_cell_length_b 6.798
_cell_length_c 6.798
_cell_angle_alpha 90.00
_cell_angle_beta 90.00
_cell_angle_gamma 90.00
loop_
_atom_site_label
_atom_site_fract_x
_atom_site_fract_y
_atom_site_fract_z
Ho1 0.000 0.000 0.000
Cd1 0.000 0.000 0.500
Rh1 0.250 0.250 0.250
Au1 0.250 0.250 0.750
```